A plane-wave DFT calculation with PBE+U was carried out for CsErCr2O8 after structural relaxation.

Computed properties:
Volume: 20.45 Å³/atom
Space-group type: P-3 (147)
Final energy: -6.936 eV/atom

Unit cell a=5.798 b=5.798 c=8.431 alpha=90.00 beta=90.00 gamma=120.00
Sites, in units of the cell vectors:
1 O 0.182 0.831 0.661
2 O 0.818 0.169 0.339
3 O 0.649 0.818 0.661
4 Cs 0.000 0.000 0.000
5 O 0.831 0.649 0.339
6 O 0.351 0.182 0.339
7 O 0.667 0.333 0.081
8 O 0.169 0.351 0.661
9 Er 0.000 0.000 0.500
10 Cr 0.333 0.667 0.726
11 Cr 0.667 0.333 0.274
12 O 0.333 0.667 0.919